The following is a GGA-PBE calculation of an optimized crystal structure of Lu2NbIn, from Alexandria via LeMat-Bulk.

POSCAR file:
```
Lu2NbIn
1.0
3.505 0.000 0.000
0.000 3.505 0.000
0.000 0.000 7.881
Lu Nb In
2 1 1
Cartesian
0.000 0.000 1.868 Lu
0.000 0.000 6.012 Lu
1.753 1.753 0.000 Nb
1.753 1.753 3.940 In
```

Properties
- Space-group type: P4/mmm (123)
- Crystal system: tetragonal
- ΔH_f (0 K): -6 kJ per mole of atoms
- Magnetic moment: 1.01 μB/cell
- ΔE to the lowest computed polymorph: 0 meV per atom
- D(E_F): 5.06 states/eV/cell

---

The following is a GGA-PBE calculation of an optimized crystal structure of Lu2NbIn, from Alexandria via LeMat-Bulk.

POSCAR file:
```
Lu2NbIn
1.0
4.583 0.000 0.000
0.000 4.583 0.000
0.000 0.000 4.441
Lu Nb In
2 1 1
Cartesian
0.000 2.292 0.000 Lu
2.292 0.000 0.000 Lu
0.000 0.000 2.221 Nb
2.292 2.292 2.221 In
```

Properties
- Space-group type: P4/mmm (123)
- Crystal system: tetragonal
- ΔH_f (0 K): -4 kJ per mole of atoms
- Magnetic moment: 0.00 μB/cell
- ΔE to the lowest computed polymorph: 12 meV per atom
- D(E_F): 4.31 states/eV/cell

---

The following is a GGA-PBE calculation of an optimized crystal structure of NdLu2In, from Alexandria via LeMat-Bulk.

POSCAR file:
```
NdLu2In
1.0
3.581 0.000 0.000
0.000 3.581 0.000
0.000 0.000 9.030
Nd Lu In
1 2 1
Cartesian
0.000 0.000 0.000 Nd
1.791 1.791 2.508 Lu
1.791 1.791 6.522 Lu
0.000 0.000 4.515 In
```

Properties
- Space-group type: P4/mmm (123)
- Crystal system: tetragonal
- ΔH_f (0 K): -22 kJ per mole of atoms
- Magnetic moment: 0.00 μB/cell
- ΔE to the lowest computed polymorph: 16 meV per atom
- D(E_F): 2.92 states/eV/cell

---

The following is a GGA-PBE calculation of an optimized crystal structure of Nd2LuIn, from Alexandria via LeMat-Bulk.

POSCAR file:
```
Nd2LuIn
1.0
3.609 0.000 0.000
0.000 3.609 0.000
0.000 0.000 9.551
Nd Lu In
2 1 1
Cartesian
0.000 0.000 2.205 Nd
0.000 0.000 7.347 Nd
1.805 1.805 4.776 Lu
1.805 1.805 0.000 In
```

Properties
- Space-group type: P4/mmm (123)
- Crystal system: tetragonal
- ΔH_f (0 K): -18 kJ per mole of atoms
- Magnetic moment: 0.00 μB/cell
- ΔE to the lowest computed polymorph: 0 meV per atom
- D(E_F): 6.59 states/eV/cell

---

The following is a GGA-PBE calculation of an optimized crystal structure of NdLuIn, from Alexandria via LeMat-Bulk.

POSCAR file:
```
NdLuIn
1.0
5.246 0.000 0.000
-2.623 4.543 0.000
0.000 0.000 3.743
Nd Lu In
1 1 1
Cartesian
0.000 0.000 0.000 Nd
2.623 1.514 1.995 Lu
0.000 3.029 1.593 In
```

Properties
- Space-group type: P3m1 (156)
- Crystal system: trigonal
- ΔH_f (0 K): -23 kJ per mole of atoms
- Magnetic moment: 0.00 μB/cell
- ΔE to the lowest computed polymorph: 54 meV per atom
- D(E_F): 2.15 states/eV/cell

---

The following is a GGA-PBE calculation of an optimized crystal structure of NdLuIn2, from Alexandria via LeMat-Bulk.

POSCAR file:
```
NdLuIn2
1.0
0.000 3.787 3.787
3.787 0.000 3.787
3.787 3.787 0.000
Nd Lu In
1 1 2
Cartesian
0.000 0.000 0.000 Nd
3.787 3.787 3.787 Lu
1.894 1.894 1.894 In
5.681 5.681 5.681 In
```

Properties
- Space-group type: Fm-3m (225)
- Crystal system: cubic
- ΔH_f (0 K): -43 kJ per mole of atoms
- Magnetic moment: 0.00 μB/cell
- ΔE to the lowest computed polymorph: 9 meV per atom
- D(E_F): 1.11 states/eV/cell

---

Among the records above, which one has the lowest ΔH_f (0 K)? NdLuIn2